Entry 1:
A relaxed NaSbIO2 crystal, computed with PBE-GGA.

The structure in POSCAR format:
```
NaSbIO2
1.0
-0.549 2.541 -3.557
2.664 -2.647 -2.302
-4.235 -2.980 -1.475
I Sb O Na
1 1 2 1
direct
0.000 0.000 0.500
0.500 0.500 0.500
0.000 0.500 0.000
0.500 0.000 0.000
0.000 0.000 0.000
```

Computed properties:
* space-group type: P4/mmm
* E above lowest polymorph: 1633 meV/atom

=====

Entry 2:
A relaxed Na3Sc3IO8 crystal, computed with PBE-GGA.

The structure in POSCAR format:
```
Na3Sc3IO8
1.0
6.403 0.000 0.000
-3.201 5.791 0.095
0.000 -3.734 5.465
Na Sc I O
3 3 1 8
direct
0.000 0.000 0.000
0.000 0.500 0.000
0.500 0.500 0.000
0.500 0.000 0.500
0.500 0.500 0.500
0.000 0.500 0.500
0.000 0.000 0.500
0.273 0.547 0.298
0.727 0.453 0.702
0.744 0.488 0.289
0.256 0.512 0.711
0.778 0.049 0.311
0.222 0.951 0.689
0.271 0.049 0.311
0.729 0.951 0.689
```

Computed properties:
* space-group type: C2/m

=====

Entry 3:
A relaxed Na2ScIO6 crystal, computed with PBE-GGA.

The structure in POSCAR format:
```
Na2ScIO6
1.0
-4.609 0.678 -3.005
-1.253 -3.618 -4.009
-4.270 -3.487 0.648
Na Sc I O
2 1 1 6
direct
0.563 0.563 0.310
0.069 0.069 0.794
0.816 0.816 0.552
0.316 0.316 0.051
0.549 0.151 0.291
0.151 0.009 0.292
0.009 0.549 0.291
0.481 0.623 0.811
0.623 0.084 0.811
0.084 0.481 0.811
```

Computed properties:
* space-group type: R-3

=====

Entry 4:
A relaxed NaScIO2 crystal, computed with PBE-GGA.

The structure in POSCAR format:
```
NaScIO2
1.0
-1.393 3.264 2.117
-3.565 -0.171 -2.083
-2.349 -3.813 4.333
I Sc O Na
1 1 2 1
direct
0.000 0.000 0.500
0.000 0.000 0.000
0.000 0.500 0.000
0.500 0.000 0.000
0.500 0.500 0.500
```

Computed properties:
* space-group type: P4/mmm
* E above lowest polymorph: 0 meV/atom

=====

Entry 5:
A relaxed NaScIO2 crystal, computed with PBE-GGA.

The structure in POSCAR format:
```
NaScIO2
1.0
-2.101 -3.172 1.919
-0.074 -2.169 -3.667
4.524 -2.248 1.238
I Sc O Na
1 1 2 1
direct
0.000 0.000 0.500
0.500 0.500 0.500
0.000 0.500 0.000
0.500 0.000 0.000
0.000 0.000 0.000
```

Computed properties:
* space-group type: P4/mmm
* E above lowest polymorph: 1544 meV/atom

=====

Entry 6:
A relaxed NaSeIO2 crystal, computed with PBE-GGA.

The structure in POSCAR format:
```
NaSeIO2
1.0
4.016 0.000 0.000
0.000 4.016 0.000
0.000 0.000 6.189
I Na O Se
1 1 2 1
direct
0.000 0.000 0.500
0.500 0.500 0.500
0.000 0.500 0.000
0.500 0.000 0.000
0.000 0.000 0.000
```

Computed properties:
* space-group type: P4/mmm
* E above lowest polymorph: 0 meV/atom

=====

Entry 7:
A relaxed NaSeIO2 crystal, computed with PBE-GGA.

The structure in POSCAR format:
```
NaSeIO2
1.0
4.342 0.000 0.000
0.000 4.342 0.000
0.000 0.000 6.623
I Na O Se
1 1 2 1
direct
0.000 0.000 0.500
0.000 0.000 0.000
0.000 0.500 0.000
0.500 0.000 0.000
0.500 0.500 0.500
```

Computed properties:
* space-group type: P4/mmm
* E above lowest polymorph: 898 meV/atom

=====

Entry 8:
A relaxed NaSiIO6 crystal, computed with PBE-GGA.

The structure in POSCAR format:
```
NaSiIO6
1.0
-2.693 0.177 -4.121
-1.878 -2.012 4.085
-3.818 9.457 2.901
Na Si I O
2 2 2 12
direct
0.000 0.000 0.000
0.000 0.000 0.500
0.667 0.333 0.250
0.333 0.667 0.750
0.333 0.667 0.250
0.667 0.333 0.750
0.629 0.614 0.151
0.985 0.371 0.151
0.371 0.985 0.651
0.015 0.629 0.849
0.386 0.371 0.349
0.985 0.614 0.349
0.614 0.985 0.849
0.629 0.015 0.349
0.015 0.386 0.651
0.386 0.015 0.151
0.614 0.629 0.651
0.371 0.386 0.849
```

Computed properties:
* space-group type: P-31c

=====

Number 1: magnetic moment 0.0 μB/cell, formation energy without anion corrections 0.48 eV/atom. Number 2: magnetic moment 1.0 μB/cell, formation energy without anion corrections -2.19 eV/atom. Number 3: magnetic moment 0.0 μB/cell, formation energy without anion corrections -1.63 eV/atom. Number 4: magnetic moment 0.0 μB/cell, formation energy without anion corrections -1.67 eV/atom. Number 5: magnetic moment 0.0 μB/cell, formation energy without anion corrections -0.13 eV/atom. Number 6: magnetic moment 0.0 μB/cell, formation energy without anion corrections -0.38 eV/atom. Number 7: magnetic moment 3.5 μB/cell, formation energy without anion corrections 0.52 eV/atom. Number 8: magnetic moment 0.0 μB/cell, formation energy without anion corrections -1.34 eV/atom.